YMnMo2Ir: relaxed, PBE-GGA.

a b c (Å): 4.815 4.815 4.769
angles (deg): 90.00 90.00 90.00
Space group P4/mmm (No. 123)
Symmetry-distinct sites (fractional):
Y1 0.000 0.000 0.000 (multiplicity 1)
Mn1 0.500 0.500 0.000 (multiplicity 1)
Mo1 0.000 0.500 0.500 (multiplicity 2)
Ir1 0.500 0.500 0.500 (multiplicity 1)

ΔE_f (eV/atom): 0.857
Magnetization (μB/atom): 0.527